No. 1
! CdSiNi2 | the Alexandria database | GGA-PBE | relaxed; values from VASP
&SYSTEM
  ibrav = 0, nat = 4, ntyp = 3
/
ATOMIC_SPECIES
Cd 112.41 Cd.upf
Si 28.09 Si.upf
Ni 58.69 Ni.upf
CELL_PARAMETERS angstrom
1.4115 0.8149 8.2744
-1.4115 0.8149 8.2744
0.0000 -1.6299 8.2744
ATOMIC_POSITIONS angstrom
Cd 0.0000 0.0000 0.0000
Si 0.0000 0.0000 19.0911
Ni 0.0000 0.0000 6.0893
Ni 0.0000 0.0000 12.4547
! Energy relative to the elements, uncorrected, eV/atom: 0.13
! Offset from the most stable computed form, eV/atom: 0.433
! Raw total energy, eV per cell: -17.4
! Space group: No. 160

***

No. 2
! CdSiNi2 | the Alexandria database | GGA-PBE | relaxed; values from VASP
&SYSTEM
  ibrav = 0, nat = 4, ntyp = 3
/
ATOMIC_SPECIES
Cd 112.41 Cd.upf
Si 28.09 Si.upf
Ni 58.69 Ni.upf
CELL_PARAMETERS angstrom
0.0000 3.0083 3.0083
3.0083 0.0000 3.0083
3.0083 3.0083 0.0000
ATOMIC_POSITIONS angstrom
Cd 0.0000 0.0000 0.0000
Si 1.5041 1.5041 1.5041
Ni 3.0083 3.0083 3.0083
Ni 4.5124 4.5124 4.5124
! Energy relative to the elements, uncorrected, eV/atom: 0.18
! Offset from the most stable computed form, eV/atom: 0.476
! Raw total energy, eV per cell: -17.2
! Space group: No. 216

***

No. 3
! CdSiNi6 | the Alexandria database | GGA-PBE | relaxed; values from VASP
&SYSTEM
  ibrav = 0, nat = 32, ntyp = 3
/
ATOMIC_SPECIES
Cd 112.41 Cd.upf
Si 28.09 Si.upf
Ni 58.69 Ni.upf
CELL_PARAMETERS angstrom
3.5928 -5.1526 0.0000
3.5928 5.1526 0.0000
0.0000 0.0000 10.3025
ATOMIC_POSITIONS angstrom
Cd 0.0000 0.0000 2.5676
Cd 0.0000 0.0000 7.7348
Cd 3.5928 2.6777 5.1512
Cd 3.5928 -2.6777 5.1512
Si 3.5928 2.6870 0.0000
Si 3.5928 0.0000 2.5280
Si 3.5928 0.0000 7.7744
Si 3.5928 -2.6870 0.0000
Ni 0.0000 0.0000 0.0000
Ni 0.0000 0.0000 5.1512
Ni 1.8780 1.3133 1.2098
Ni 1.8780 1.3133 9.0927
Ni 1.9334 1.2546 3.7574
Ni 1.9334 1.2546 6.5451
Ni 3.5928 2.5357 2.4110
Ni 3.5928 2.5357 7.8915
Ni 1.8780 -1.3133 1.2098
Ni 1.8780 -1.3133 9.0927
Ni 1.9334 -1.2546 3.7574
Ni 1.9334 -1.2546 6.5451
Ni 3.5928 0.0000 0.0000
Ni 3.5928 0.0000 5.1512
Ni 5.2523 1.2546 3.7574
Ni 5.2523 1.2546 6.5451
Ni 5.3077 1.3133 1.2098
Ni 5.3077 1.3133 9.0927
Ni 3.5928 -2.5357 2.4110
Ni 3.5928 -2.5357 7.8915
Ni 5.2523 -1.2546 3.7574
Ni 5.2523 -1.2546 6.5451
Ni 5.3077 -1.3133 1.2098
Ni 5.3077 -1.3133 9.0927
! Energy relative to the elements, uncorrected, eV/atom: -0.14
! Raw total energy, eV per cell: -168.5
! Space group: No. 65

***

No. 4
! CdSiNi2 | the Alexandria database | GGA-PBE | relaxed; values from VASP
&SYSTEM
  ibrav = 0, nat = 4, ntyp = 3
/
ATOMIC_SPECIES
Cd 112.41 Cd.upf
Si 28.09 Si.upf
Ni 58.69 Ni.upf
CELL_PARAMETERS angstrom
1.4074 0.8125 7.9916
-1.4074 0.8125 7.9916
0.0000 -1.6251 7.9916
ATOMIC_POSITIONS angstrom
Cd 0.0000 0.0000 0.0000
Si 0.0000 0.0000 11.9874
Ni 0.0000 0.0000 5.6866
Ni 0.0000 0.0000 18.2882
! Energy relative to the elements, uncorrected, eV/atom: -0.13
! Offset from the most stable computed form, eV/atom: 0.167
! Raw total energy, eV per cell: -18.4
! Space group: No. 166

***

- raw total energy of number 3 (CdSiNi6)?
  -168.5 eV per cell

***

What did the first record say?
! CdSiNi2 | the Alexandria database | GGA-PBE | relaxed; values from VASP
&SYSTEM
  ibrav = 0, nat = 4, ntyp = 3
/
ATOMIC_SPECIES
Cd 112.41 Cd.upf
Si 28.09 Si.upf
Ni 58.69 Ni.upf
CELL_PARAMETERS angstrom
1.4115 0.8149 8.2744
-1.4115 0.8149 8.2744
0.0000 -1.6299 8.2744
ATOMIC_POSITIONS angstrom
Cd 0.0000 0.0000 0.0000
Si 0.0000 0.0000 19.0911
Ni 0.0000 0.0000 6.0893
Ni 0.0000 0.0000 12.4547
! Energy relative to the elements, uncorrected, eV/atom: 0.13
! Offset from the most stable computed form, eV/atom: 0.433
! Raw total energy, eV per cell: -17.4
! Space group: No. 160